Record 1
{
  "formula": "LuHfGaFe",
  "functional": "PBE",
  "state": "optimized geometry",
  "magnetic_moment_mub_per_cell": 0.85,
  "sg": "F-43m (216)",
  "e_tot_ev_per_atom": -6.73,
  "e_form_kcal_per_mol_atoms": -5.480,
  "dos_ef_per_ev_fu": 2.8,
  "lattice_angstrom": [[-3.9475, -0.6956, 2.4422], [0.0661, -2.6773, 3.8547], [-0.5190, 1.9645, 4.2311]],
  "species": ["Lu", "Hf", "Fe", "Ga"],
  "fractional_positions": [[0.0000, 0.0000, 0.0000], [0.5000, 0.5000, 0.5000], [0.2500, 0.2500, 0.2500], [0.7500, 0.7500, 0.7500]]
}

=====

Record 2
{
  "formula": "TlZn2Os",
  "functional": "PBE",
  "state": "optimized geometry",
  "magnetic_moment_mub_per_cell": 0.00,
  "sg": "P2/m (10)",
  "e_tot_ev_per_atom": -3.67,
  "e_form_kcal_per_mol_atoms": 8.549,
  "dos_ef_per_ev_fu": 2.6,
  "lattice_angstrom": [[3.1095, 0.0000, 0.0000], [0.0000, 3.1205, 0.0340], [0.0000, 3.3387, 7.6446]],
  "species": ["Os", "Tl", "Zn", "Zn"],
  "fractional_positions": [[0.5000, 0.2500, 0.2500], [0.5000, 0.7500, 0.7500], [0.0000, 0.9515, 0.0660], [0.0000, 0.5485, 0.4340]]
}

=====

Record 3
{
  "formula": "ScZn5Cu2",
  "functional": "PBE",
  "state": "optimized geometry",
  "magnetic_moment_mub_per_cell": 0.00,
  "sg": "Immm (71)",
  "e_tot_ev_per_atom": -2.78,
  "e_form_kcal_per_mol_atoms": -3.848,
  "dos_ef_per_ev_fu": 2.6,
  "lattice_angstrom": [[3.0548, 0.0000, 0.0000], [1.5274, 6.3774, 0.1000], [1.5274, 1.2700, 6.2504]],
  "species": ["Sc", "Zn", "Zn", "Zn", "Zn", "Zn", "Cu", "Cu"],
  "fractional_positions": [[0.0000, 0.0000, 0.0000], [0.0000, 0.5000, 0.5000], [0.6361, 0.5842, 0.1435], [0.3639, 0.4158, 0.8565], [0.3639, 0.8565, 0.4158], [0.6361, 0.1435, 0.5842], [0.7438, 0.7562, 0.7562], [0.2562, 0.2438, 0.2438]]
}

=====

Record 4
{
  "formula": "La2ErAs4Rh3",
  "functional": "PBE",
  "state": "optimized geometry",
  "magnetic_moment_mub_per_cell": 0.00,
  "sg": "P-4m2 (115)",
  "e_tot_ev_per_atom": -6.55,
  "e_form_kcal_per_mol_atoms": -23.998,
  "dos_ef_per_ev_fu": 4.3,
  "lattice_angstrom": [[4.3618, 0.0000, 0.0000], [0.0000, 4.3618, 0.0000], [0.0000, 0.0000, 10.8728]],
  "species": ["La", "La", "Er", "As", "As", "As", "As", "Rh", "Rh", "Rh"],
  "fractional_positions": [[0.5000, 0.0000, 0.2234], [0.0000, 0.5000, 0.7766], [0.5000, 0.5000, 0.5000], [0.5000, 0.5000, 0.0000], [0.0000, 0.0000, 0.0000], [0.5000, 0.0000, 0.6598], [0.0000, 0.5000, 0.3402], [0.0000, 0.0000, 0.5000], [0.5000, 0.0000, 0.8907], [0.0000, 0.5000, 0.1093]]
}

=====

Record 5
{
  "formula": "Sc2In2Rh3",
  "functional": "PBE",
  "state": "optimized geometry",
  "magnetic_moment_mub_per_cell": 0.00,
  "sg": "C2/m (12)",
  "e_tot_ev_per_atom": -6.49,
  "e_form_kcal_per_mol_atoms": -17.135,
  "dos_ef_per_ev_fu": 3.5,
  "lattice_angstrom": [[4.3797, -0.0079, -1.2193], [-2.3657, 3.8872, 0.0026], [-0.1899, -0.1051, 7.7527]],
  "species": ["Sc", "Sc", "In", "In", "Rh", "Rh", "Rh"],
  "fractional_positions": [[0.7606, 0.3802, 0.1406], [0.2394, 0.6198, 0.8594], [0.2564, 0.1272, 0.3848], [0.7436, 0.8728, 0.6152], [0.0000, 0.0000, 0.0000], [0.5105, 0.2554, 0.7655], [0.4895, 0.7446, 0.2345]]
}

=====

Record 6
{
  "formula": "NaV2C2",
  "functional": "PBE",
  "state": "optimized geometry",
  "magnetic_moment_mub_per_cell": 0.00,
  "sg": "P4/mbm (127)",
  "e_tot_ev_per_atom": -7.10,
  "e_form_kcal_per_mol_atoms": 11.549,
  "dos_ef_per_ev_fu": 3.5,
  "lattice_angstrom": [[-1.7528, 0.8691, 5.7821], [-2.5308, -5.5543, 0.0677], [2.3785, -1.0730, 0.8823]],
  "species": ["Na", "Na", "C", "C", "C", "C", "V", "V", "V", "V"],
  "fractional_positions": [[0.0000, 0.0000, 0.0000], [0.5000, 0.5000, 0.0000], [0.3559, 0.8559, 0.0000], [0.8559, 0.6441, 0.0000], [0.6441, 0.1441, 0.0000], [0.1441, 0.3559, 0.0000], [0.1370, 0.6370, 0.5000], [0.6370, 0.8630, 0.5000], [0.8630, 0.3630, 0.5000], [0.3630, 0.1370, 0.5000]]
}